[1]
The following is a PBE calculation of crystalline Fe2GeMoH at its relaxed geometry, from Alexandria via LeMat-Bulk.

The space group is P4/mmm (No. 123) and the conventional cell measures 3.749, 3.749 and 3.995 Å, with angles of 90.00, 90.00 and 90.00 degrees. The distinct sites, in fractional coordinates, are Fe at (0.000, 0.500, 0.000), Ge at (0.000, 0.000, 0.500), Mo at (0.500, 0.500, 0.500) and H at (0.500, 0.500, 0.000).

The density of states at the Fermi level comes out at 4.522 states/eV per cell. Its total energy is -7.120 eV/atom.


[2]
The following is a PBE calculation of crystalline NaFe2GeH at its relaxed geometry, from Alexandria via LeMat-Bulk.

The space group is P4/mmm (No. 123) and the conventional cell measures 3.780, 3.780 and 4.522 Å, with angles of 90.00, 90.00 and 90.00 degrees. The distinct sites, in fractional coordinates, are Na at (0.000, 0.000, 0.000), Fe at (0.000, 0.500, 0.500), Ge at (0.500, 0.500, 0.000) and H at (0.500, 0.500, 0.500).

The density of states at the Fermi level comes out at 2.765 states/eV per cell. Its total energy is -4.748 eV/atom.


[3]
The following is a PBE calculation of crystalline Nb2FeGeH at its relaxed geometry, from Alexandria via LeMat-Bulk.

The space group is P4/mmm (No. 123) and the conventional cell measures 4.116, 4.116 and 3.826 Å, with angles of 90.00, 90.00 and 90.00 degrees. The distinct sites, in fractional coordinates, are Nb at (0.000, 0.500, 0.000), Fe at (0.000, 0.000, 0.500), Ge at (0.500, 0.500, 0.500) and H at (0.000, 0.000, 0.000).

The density of states at the Fermi level comes out at 2.480 states/eV per cell. Its total energy is -7.501 eV/atom.


[4]
The following is a PBE calculation of crystalline FeNi2GeH at its relaxed geometry, from Alexandria via LeMat-Bulk.

The space group is P4/mmm (No. 123) and the conventional cell measures 3.592, 3.592 and 3.735 Å, with angles of 90.00, 90.00 and 90.00 degrees. The distinct sites, in fractional coordinates, are Fe at (0.000, 0.000, 0.000), Ni at (0.000, 0.500, 0.500), Ge at (0.500, 0.500, 0.000) and H at (0.000, 0.000, 0.500).

The density of states at the Fermi level comes out at 4.332 states/eV per cell. Its total energy is -5.736 eV/atom.